[1]
Material: HfMo3Pd
Method: DFT, PBE
State: optimized geometry

Values from the calculation:
The energy relative to the lowest polymorph listed for this composition comes out at 0 meV per atom. As for the crystal system: cubic. For the volume, the calculation gives 21.09 Å³ per atom. The magnetic moment is 0.00 μB/atom. The density comes out at 9.02 g/cm³. The energy of formation from the pure elements is 158 kJ per mole of atoms.

Cell lengths 4.7242, 4.7242, 4.7242 Å; angles 90.00, 90.00, 90.00 degrees
Space group Pm-3m (No. 221)
Unique sites:
Hf 0.0000 0.0000 0.0000 [1 per cell]
Mo 0.0000 0.5000 0.5000 [3 per cell]
Pd 0.5000 0.5000 0.5000 [1 per cell]

---

[2]
Material: HfMoPd2
Method: DFT, PBE
State: optimized geometry

Values from the calculation:
The energy relative to the lowest polymorph listed for this composition comes out at 255 meV per atom. As for the crystal system: tetragonal. For the volume, the calculation gives 18.06 Å³ per atom. The magnetic moment is 0.00 μB/atom. The density comes out at 11.20 g/cm³. The energy of formation from the pure elements is 15 kJ per mole of atoms.

Cell lengths 3.9431, 3.9431, 18.5853 Å; angles 90.00, 90.00, 90.00 degrees
Space group I-42d (No. 122)
Unique sites:
Hf 0.0000 0.0000 0.0000 [4 per cell]
Mo 0.0000 0.0000 0.5000 [4 per cell]
Pd 0.2451 0.2500 0.6250 [8 per cell]

---

[3]
Material: RbHf2MoPd
Method: DFT, PBE
State: optimized geometry

Values from the calculation:
As for the crystal system: tetragonal. For the volume, the calculation gives 27.45 Å³ per atom. The magnetic moment is 0.33 μB/atom. The density comes out at 7.80 g/cm³. The energy of formation from the pure elements is 113 kJ per mole of atoms.

Cell lengths 5.1084, 5.1084, 5.2590 Å; angles 90.00, 90.00, 90.00 degrees
Space group P4/mmm (No. 123)
Unique sites:
Rb 0.0000 0.0000 0.0000 [1 per cell]
Hf 0.0000 0.5000 0.5000 [2 per cell]
Mo 0.5000 0.5000 0.0000 [1 per cell]
Pd 0.5000 0.5000 0.5000 [1 per cell]

---

[4]
Material: Hf2ReMoPd
Method: DFT, PBE
State: optimized geometry

Values from the calculation:
As for the crystal system: tetragonal. For the volume, the calculation gives 22.33 Å³ per atom. The magnetic moment is 0.16 μB/atom. The density comes out at 11.09 g/cm³. The energy of formation from the pure elements is 138 kJ per mole of atoms.

Cell lengths 4.9012, 4.9012, 4.6485 Å; angles 90.00, 90.00, 90.00 degrees
Space group P4/mmm (No. 123)
Unique sites:
Hf 0.0000 0.5000 0.0000 [2 per cell]
Re 0.0000 0.0000 0.5000 [1 per cell]
Mo 0.5000 0.5000 0.5000 [1 per cell]
Pd 0.0000 0.0000 0.0000 [1 per cell]